i | The following is a DFT calculation (PBE) of crystalline ZnBS2Cl at its relaxed geometry.

a b c (Å): 4.2456 4.2456 4.3631
angles (deg): 90.00 90.00 90.00
Fractional positions:
Zn: 0.0000 0.0000 0.0000
B: 0.5000 0.5000 0.5000
S: 0.0000 0.5000 0.5000
S: 0.5000 0.0000 0.5000
Cl: 0.5000 0.5000 0.0000

The calculation puts the density at 3.712 g/cm3. Its space group is P4/mmm.

ii | The following is a DFT calculation (PBE) of crystalline ZnBS2Cl at its relaxed geometry.

a b c (Å): 4.6048 4.6048 5.0797
angles (deg): 90.00 90.00 90.00
Fractional positions:
Zn: 0.0000 0.0000 0.0000
B: 0.5000 0.5000 0.5000
S: 0.0000 0.5000 0.0000
S: 0.5000 0.0000 0.0000
Cl: 0.0000 0.0000 0.5000

The calculation puts the density at 2.710 g/cm3. Its space group is P4/mmm.

Most stable structure, least stable structure: i, ii.

i | The following is a DFT calculation (PBE) of crystalline ZrBS2Cl at its relaxed geometry.

a b c (Å): 4.3200 4.3200 4.1336
angles (deg): 90.00 90.00 90.00
Fractional positions:
Zr: 0.0000 0.0000 0.0000
B: 0.5000 0.5000 0.5000
S: 0.0000 0.5000 0.5000
S: 0.5000 0.0000 0.5000
Cl: 0.5000 0.5000 0.0000

The calculation puts the density at 4.340 g/cm3. Its space group is P4/mmm.

ii | The following is a DFT calculation (PBE) of crystalline ZrBS2Cl at its relaxed geometry.

a b c (Å): 5.0064 5.0064 5.0088
angles (deg): 90.00 90.00 90.00
Fractional positions:
Zr: 0.0000 0.0000 0.0000
B: 0.5000 0.5000 0.5000
S: 0.0000 0.5000 0.0000
S: 0.5000 0.0000 0.0000
Cl: 0.0000 0.0000 0.5000

The calculation puts the density at 2.667 g/cm3. Its space group is P4/mmm.

Most stable structure, least stable structure: i, ii.

i | The following is a DFT calculation (PBE) of crystalline B2SbCl at its relaxed geometry.

a b c (Å): 6.5663 6.5663 6.5663
angles (deg): 132.11 132.11 70.06
Fractional positions:
B: 0.1040 0.6250 0.9790
B: 0.3750 0.3540 0.4790
B: 0.6460 0.1250 0.0210
B: 0.8750 0.8960 0.5210
Sb: 0.0000 0.0000 0.0000
Sb: 0.7500 0.2500 0.5000
Cl: 0.2500 0.7500 0.5000
Cl: 0.5000 0.5000 0.0000

The calculation puts the density at 3.888 g/cm3. Its space group is I-42d.

ii | The following is a DFT calculation (PBE) of crystalline B2SbCl at its relaxed geometry.

a b c (Å): 4.4399 4.4399 4.4399
angles (deg): 60.00 60.00 60.00
Fractional positions:
B: 0.2500 0.2500 0.2500
B: 0.7500 0.7500 0.7500
Sb: 0.0000 0.0000 0.0000
Cl: 0.5000 0.5000 0.5000

The calculation puts the density at 4.798 g/cm3. Its space group is Fm-3m.

Most stable structure, least stable structure: i, ii.

i | The following is a DFT calculation (PBE) of crystalline BSbCl3 at its relaxed geometry.

a b c (Å): 4.5692 4.5692 4.5692
angles (deg): 90.00 90.00 90.00
Fractional positions:
B: 0.0000 0.0000 0.0000
Sb: 0.5000 0.5000 0.5000
Cl: 0.0000 0.0000 0.5000
Cl: 0.0000 0.5000 0.0000
Cl: 0.5000 0.0000 0.0000

The calculation puts the density at 4.159 g/cm3. Its space group is Pm-3m.

ii | The following is a DFT calculation (PBE) of crystalline BSbCl3 at its relaxed geometry.

a b c (Å): 5.3580 5.3580 5.3580
angles (deg): 90.00 90.00 90.00
Fractional positions:
B: 0.0000 0.0000 0.0000
Sb: 0.5000 0.5000 0.5000
Cl: 0.0000 0.5000 0.5000
Cl: 0.5000 0.0000 0.5000
Cl: 0.5000 0.5000 0.0000

The calculation puts the density at 2.579 g/cm3. Its space group is Pm-3m.

Most stable structure, least stable structure: i, ii.

i | The following is a DFT calculation (PBE) of crystalline ScB2Cl at its relaxed geometry.

a b c (Å): 5.2770 5.2770 5.2770
angles (deg): 113.71 113.71 101.29
Fractional positions:
Sc: 0.0000 0.0000 0.0000
Sc: 0.7500 0.2500 0.5000
B: 0.1912 0.1250 0.5662
B: 0.3750 0.8088 0.9338
B: 0.5588 0.6250 0.4338
B: 0.8750 0.4412 0.0662
Cl: 0.2500 0.7500 0.5000
Cl: 0.5000 0.5000 0.0000

The calculation puts the density at 3.041 g/cm3. Its space group is I-42d.

ii | The following is a DFT calculation (PBE) of crystalline ScB2Cl at its relaxed geometry.

a b c (Å): 4.3386 4.3386 4.3386
angles (deg): 60.00 60.00 60.00
Fractional positions:
Sc: 0.0000 0.0000 0.0000
B: 0.2500 0.2500 0.2500
B: 0.7500 0.7500 0.7500
Cl: 0.5000 0.5000 0.5000

The calculation puts the density at 2.934 g/cm3. Its space group is Fm-3m.

Most stable structure, least stable structure: i, ii.

i | The following is a DFT calculation (PBE) of crystalline BSeCl2 at its relaxed geometry.

a b c (Å): 9.6859 9.6859 9.6859
angles (deg): 19.07 19.07 19.07
Fractional positions:
B: 0.0000 0.0000 0.0000
Se: 0.5000 0.5000 0.5000
Cl: 0.0581 0.0581 0.0581
Cl: 0.9419 0.9419 0.9419

The calculation puts the density at 3.148 g/cm3. Its space group is R-3m.

ii | The following is a DFT calculation (PBE) of crystalline BSeCl2 at its relaxed geometry.

a b c (Å): 4.8568 4.8568 4.8568
angles (deg): 60.00 60.00 60.00
Fractional positions:
B: 0.0000 0.0000 0.0000
Se: 0.5000 0.5000 0.5000
Cl: 0.2500 0.2500 0.2500
Cl: 0.7500 0.7500 0.7500

The calculation puts the density at 3.294 g/cm3. Its space group is Fm-3m.

Most stable structure, least stable structure: i, ii.

i | The following is a DFT calculation (PBE) of crystalline BSe3Cl at its relaxed geometry.

a b c (Å): 4.5323 4.5323 4.5323
angles (deg): 90.00 90.00 90.00
Fractional positions:
B: 0.0000 0.0000 0.0000
Se: 0.0000 0.0000 0.5000
Se: 0.0000 0.5000 0.0000
Se: 0.5000 0.0000 0.0000
Cl: 0.5000 0.5000 0.5000

The calculation puts the density at 5.050 g/cm3. Its space group is Pm-3m.

ii | The following is a DFT calculation (PBE) of crystalline BSe3Cl at its relaxed geometry.

a b c (Å): 5.0012 5.0012 5.0012
angles (deg): 90.00 90.00 90.00
Fractional positions:
B: 0.0000 0.0000 0.0000
Se: 0.0000 0.5000 0.5000
Se: 0.5000 0.0000 0.5000
Se: 0.5000 0.5000 0.0000
Cl: 0.5000 0.5000 0.5000

The calculation puts the density at 3.759 g/cm3. Its space group is Pm-3m.

Most stable structure, least stable structure: i, ii.

i | The following is a DFT calculation (PBE) of crystalline B2SeCl at its relaxed geometry.

a b c (Å): 4.2797 4.2797 4.2797
angles (deg): 60.00 60.00 60.00
Fractional positions:
B: 0.2500 0.2500 0.2500
B: 0.7500 0.7500 0.7500
Se: 0.0000 0.0000 0.0000
Cl: 0.5000 0.5000 0.5000

The calculation puts the density at 4.076 g/cm3. Its space group is Fm-3m.

ii | The following is a DFT calculation (PBE) of crystalline B2SeCl at its relaxed geometry.

a b c (Å): 5.4653 5.4653 5.4653
angles (deg): 116.35 116.35 96.44
Fractional positions:
B: 0.0970 0.6250 0.9720
B: 0.3750 0.3470 0.4720
B: 0.6530 0.1250 0.0280
B: 0.8750 0.9030 0.5280
Se: 0.0000 0.0000 0.0000
Se: 0.7500 0.2500 0.5000
Cl: 0.2500 0.7500 0.5000
Cl: 0.5000 0.5000 0.0000

The calculation puts the density at 3.735 g/cm3. Its space group is I-42d.

Most stable structure, least stable structure: ii, i.

i | The following is a DFT calculation (PBE) of crystalline BSeCl at its relaxed geometry.

a b c (Å): 4.0140 8.9797 10.3116
angles (deg): 90.00 90.00 90.00
Fractional positions:
B: 0.2081 0.1355 0.0009
B: 0.2919 0.8645 0.5009
B: 0.7081 0.3645 0.9991
B: 0.7919 0.6355 0.4991
Se: 0.0986 0.7205 0.3693
Se: 0.4014 0.2795 0.8693
Se: 0.5986 0.7795 0.6307
Se: 0.9014 0.2205 0.1307
Cl: 0.2193 0.0554 0.4934
Cl: 0.2807 0.9446 0.9934
Cl: 0.7193 0.4446 0.5066
Cl: 0.7807 0.5554 0.0066

The calculation puts the density at 2.238 g/cm3. Its space group is P2_12_12_1.

ii | The following is a DFT calculation (PBE) of crystalline BSeCl at its relaxed geometry.

a b c (Å): 3.2333 7.2024 8.9884
angles (deg): 75.17 79.66 77.23
Fractional positions:
B: 0.1047 0.0479 0.2430
B: 0.8953 0.9521 0.7570
Se: 0.3218 0.1190 0.7395
Se: 0.6782 0.8810 0.2605
Cl: 0.0063 0.7008 0.7817
Cl: 0.9937 0.2992 0.2183

The calculation puts the density at 2.126 g/cm3. Its space group is P-1.

iii | The following is a DFT calculation (PBE) of crystalline BSeCl at its relaxed geometry.

a b c (Å): 9.3347 9.3347 3.1740
angles (deg): 90.00 90.00 90.00
Fractional positions:
B: 0.1584 0.1726 0.0000
B: 0.1726 0.8416 0.5000
B: 0.8274 0.1584 0.5000
B: 0.8416 0.8274 0.0000
Se: 0.0519 0.7598 0.0000
Se: 0.2402 0.0519 0.5000
Se: 0.7598 0.9481 0.5000
Se: 0.9481 0.2402 0.0000
Cl: 0.2266 0.3498 0.5000
Cl: 0.3498 0.7734 0.0000
Cl: 0.6502 0.2266 0.0000
Cl: 0.7734 0.6502 0.5000

The calculation puts the density at 3.007 g/cm3. Its space group is P4_2/m.

Most stable structure, least stable structure: ii, iii.

i | The following is a DFT calculation (PBE) of crystalline SiB2Cl2 at its relaxed geometry.

a b c (Å): 5.9654 5.9654 4.3658
angles (deg): 90.00 90.00 90.00
Fractional positions:
Si: 0.0000 0.0000 0.0000
Si: 0.5000 0.5000 0.0000
B: 0.2309 0.2691 0.0000
B: 0.2691 0.7691 0.0000
B: 0.7309 0.2309 0.0000
B: 0.7691 0.7309 0.0000
Cl: 0.1896 0.3104 0.5000
Cl: 0.3104 0.8104 0.5000
Cl: 0.6896 0.1896 0.5000
Cl: 0.8104 0.6896 0.5000

The calculation puts the density at 2.578 g/cm3. Its space group is P4/mbm.

ii | The following is a DFT calculation (PBE) of crystalline SiB2Cl2 at its relaxed geometry.

a b c (Å): 4.7235 4.7235 4.7235
angles (deg): 110.29 110.29 107.84
Fractional positions:
Si: 0.0000 0.0000 0.0000
B: 0.3508 0.3508 0.0000
B: 0.6492 0.6492 0.0000
Cl: 0.2500 0.7500 0.5000
Cl: 0.7500 0.2500 0.5000

The calculation puts the density at 2.470 g/cm3. Its space group is I4/mmm.

Most stable structure, least stable structure: i, ii.

i | The following is a DFT calculation (PBE) of crystalline SiBCl3 at its relaxed geometry.

a b c (Å): 4.9073 4.9073 4.9073
angles (deg): 90.00 90.00 90.00
Fractional positions:
Si: 0.0000 0.0000 0.0000
B: 0.5000 0.5000 0.5000
Cl: 0.0000 0.0000 0.5000
Cl: 0.0000 0.5000 0.0000
Cl: 0.5000 0.0000 0.0000

The calculation puts the density at 2.041 g/cm3. Its space group is Pm-3m.

ii | The following is a DFT calculation (PBE) of crystalline SiBCl3 at its relaxed geometry.

a b c (Å): 4.4447 4.4447 4.4447
angles (deg): 90.00 90.00 90.00
Fractional positions:
Si: 0.0000 0.0000 0.0000
B: 0.5000 0.5000 0.5000
Cl: 0.0000 0.5000 0.5000
Cl: 0.5000 0.0000 0.5000
Cl: 0.5000 0.5000 0.0000

The calculation puts the density at 2.747 g/cm3. Its space group is Pm-3m.

Most stable structure, least stable structure: i, ii.

i | The following is a DFT calculation (PBE) of crystalline SnBCl2 at its relaxed geometry.

a b c (Å): 4.9391 4.9391 4.9391
angles (deg): 60.00 60.00 60.00
Fractional positions:
Sn: 0.0000 0.0000 0.0000
B: 0.5000 0.5000 0.5000
Cl: 0.2500 0.2500 0.2500
Cl: 0.7500 0.7500 0.7500

The calculation puts the density at 3.906 g/cm3. Its space group is Fm-3m.

ii | The following is a DFT calculation (PBE) of crystalline SnBCl2 at its relaxed geometry.

a b c (Å): 10.8458 10.8458 10.8458
angles (deg): 17.48 17.48 17.48
Fractional positions:
Sn: 0.0000 0.0000 0.0000
B: 0.5000 0.5000 0.5000
Cl: 0.4479 0.4479 0.4479
Cl: 0.5521 0.5521 0.5521

The calculation puts the density at 3.314 g/cm3. Its space group is R-3m.

Most stable structure, least stable structure: ii, i.

i | The following is a DFT calculation (PBE) of crystalline SnBCl3 at its relaxed geometry.

a b c (Å): 5.4130 5.4130 5.4130
angles (deg): 90.00 90.00 90.00
Fractional positions:
Sn: 0.0000 0.0000 0.0000
B: 0.5000 0.5000 0.5000
Cl: 0.0000 0.0000 0.5000
Cl: 0.0000 0.5000 0.0000
Cl: 0.5000 0.0000 0.0000

The calculation puts the density at 2.470 g/cm3. Its space group is Pm-3m.

ii | The following is a DFT calculation (PBE) of crystalline SnBCl3 at its relaxed geometry.

a b c (Å): 4.6369 4.6369 4.6369
angles (deg): 90.00 90.00 90.00
Fractional positions:
Sn: 0.0000 0.0000 0.0000
B: 0.5000 0.5000 0.5000
Cl: 0.0000 0.5000 0.5000
Cl: 0.5000 0.0000 0.5000
Cl: 0.5000 0.5000 0.0000

The calculation puts the density at 3.929 g/cm3. Its space group is Pm-3m.

Most stable structure, least stable structure: ii, i.